Run a
2
Lattice="-0.540 -3.705 -1.603 -0.775 -3.176 2.429 -3.700 -1.703 0.007" Properties=species:S:1:pos:R:3 comment="IrAu (PBEsol, relaxed)" density_g_cm3=13.53 magnetic_moment_mub_per_fu=1.45 volume_a3_per_atom=23.9 pbc="T T T"
Ir -3.761 -6.438 0.625
Au 0.000 0.000 0.000

---

Run b
4
Lattice="2.768 0.000 0.000 0.000 4.739 0.000 -1.384 -2.370 4.795" Properties=species:S:1:pos:R:3 comment="IrAu (PBEsol, relaxed)" density_g_cm3=20.54 magnetic_moment_mub_per_fu=0.00 volume_a3_per_atom=15.7 pbc="T T T"
Ir 0.000 -1.185 3.476
Au 0.000 1.185 1.127
Au 1.384 1.185 3.668
Ir 1.384 3.555 1.320

---

Name the least stable of them. run a.

---

Run a
4
Lattice="3.614 0.000 0.000 0.000 5.431 0.000 -1.807 -2.715 6.170" Properties=species:S:1:pos:R:3 comment="Ca2LaMn (PBEsol, relaxed)" density_g_cm3=3.76 magnetic_moment_mub_per_fu=2.90 volume_a3_per_atom=30.3 pbc="T T T"
Mn 0.000 2.715 0.000
Ca 0.000 0.000 3.696
Ca 1.807 2.715 2.474
La 1.807 0.000 0.000

---

Run b
4
Lattice="3.675 0.000 0.000 0.000 3.675 0.000 0.000 0.000 9.229" Properties=species:S:1:pos:R:3 comment="Ca2LaMn (PBEsol, relaxed)" density_g_cm3=3.65 magnetic_moment_mub_per_fu=3.17 volume_a3_per_atom=31.2 pbc="T T T"
Mn 1.838 1.838 6.827
Ca 0.000 0.000 8.692
Ca 1.838 1.838 2.341
La 0.000 0.000 5.212

---

Name the least stable of them. run a.

---

Run a
5
Lattice="-2.109 2.555 -1.541 -2.700 -2.438 -0.348 -1.272 0.938 3.295" Properties=species:S:1:pos:R:3 comment="KCuH3 (PBEsol, relaxed)" density_g_cm3=3.60 magnetic_moment_mub_per_fu=0.00 volume_a3_per_atom=9.8 pbc="T T T"
H -0.636 0.469 1.647
K -3.040 0.528 0.703
H -1.054 1.278 -0.771
Cu 0.000 0.000 0.000
H -1.350 -1.219 -0.174

---

Run b
10
Lattice="5.278 -0.041 -0.063 -2.239 4.780 0.063 -2.239 -1.908 4.383" Properties=species:S:1:pos:R:3 comment="KCuH3 (PBEsol, relaxed)" density_g_cm3=3.19 magnetic_moment_mub_per_fu=0.00 volume_a3_per_atom=11.0 pbc="T T T"
H 0.400 3.087 1.112
H 0.400 -0.256 3.271
Cu 1.519 2.369 0.000
K -3.359 2.154 3.335
H 1.519 1.045 0.855
Cu 1.519 -0.974 2.160
K -1.120 0.718 1.112
H 2.723 -0.422 3.015
H -1.923 3.253 1.368
H -0.720 1.785 3.528

---

Name the least stable of them. run a.

---

Run a
4
Lattice="4.449 0.000 0.000 0.000 4.449 0.000 -2.224 -2.224 3.145" Properties=species:S:1:pos:R:3 comment="Tc2HgCl (PBEsol, relaxed)" density_g_cm3=11.52 magnetic_moment_mub_per_fu=0.00 volume_a3_per_atom=15.6 pbc="T T T"
Tc 0.000 2.224 1.573
Tc 2.224 0.000 1.573
Hg 0.000 0.000 0.000
Cl 2.224 2.224 0.000

---

Run b
4
Lattice="4.511 0.000 0.000 2.256 3.907 0.000 2.256 1.302 3.683" Properties=species:S:1:pos:R:3 comment="Tc2HgCl (PBEsol, relaxed)" density_g_cm3=11.05 magnetic_moment_mub_per_fu=0.53 volume_a3_per_atom=16.2 pbc="T T T"
Tc 0.000 0.000 0.000
Cl 4.511 2.605 1.842
Hg 6.767 3.907 2.763
Tc 2.256 1.302 0.921

---

Name the least stable of them. run a.

---

Run a
4
Lattice="-0.145 -2.290 4.186 6.703 -0.901 -0.261 -2.363 7.470 1.283" Properties=species:S:1:pos:R:3 comment="BaSr (PBEsol, relaxed)" density_g_cm3=3.41 magnetic_moment_mub_per_fu=0.00 volume_a3_per_atom=54.7 pbc="T T T"
Sr 5.188 -0.328 2.722
Sr -0.992 4.607 2.486
Ba 2.294 3.054 4.471
Ba 1.902 1.225 0.736

---

Run b
2
Lattice="-2.853 2.990 -0.193 -1.860 -3.592 0.868 0.791 1.180 6.579" Properties=species:S:1:pos:R:3 comment="BaSr (PBEsol, relaxed)" density_g_cm3=3.43 magnetic_moment_mub_per_fu=0.00 volume_a3_per_atom=54.4 pbc="T T T"
Sr -1.961 0.289 3.627
Ba 0.000 0.000 0.000

---

Name the least stable of them. run a.

---

Run a
3
Lattice="4.154 0.000 0.000 2.077 3.597 0.000 2.077 1.199 3.392" Properties=species:S:1:pos:R:3 comment="Mo2Br (PBEsol, relaxed)" density_g_cm3=8.90 magnetic_moment_mub_per_fu=0.00 volume_a3_per_atom=16.9 pbc="T T T"
Mo 2.077 1.199 0.848
Br 0.000 0.000 0.000
Mo 6.231 3.597 2.544

---

Run b
6
Lattice="5.047 -0.013 0.000 -1.927 4.665 0.000 -1.560 -2.326 4.199" Properties=species:S:1:pos:R:3 comment="Mo2Br (PBEsol, relaxed)" density_g_cm3=9.14 magnetic_moment_mub_per_fu=0.00 volume_a3_per_atom=16.5 pbc="T T T"
Mo 3.304 1.157 0.912
Br 2.340 3.489 0.000
Mo 0.758 -0.508 2.099
Mo -1.744 1.169 3.287
Mo 0.803 2.834 2.099
Br 0.780 1.163 0.000

---

Name the least stable of them. run a.

---

Run a
12
Lattice="-0.036 -2.635 -0.936 4.945 1.558 -4.575 6.821 -2.464 6.671" Properties=species:S:1:pos:R:3 comment="Ag2Pt (PBEsol, relaxed)" density_g_cm3=14.32 magnetic_moment_mub_per_fu=0.00 volume_a3_per_atom=15.9 pbc="T T T"
Pt 3.410 -1.232 3.336
Ag 1.719 -1.921 1.164
Ag 9.554 -2.540 2.605
Pt 5.515 -2.247 1.936
Ag 2.177 -1.000 -1.445
Ag 7.296 -1.528 4.020
Ag 3.998 -0.288 0.657
Ag 4.470 0.623 -1.924
Ag 7.769 -0.618 1.440
Pt 6.216 -1.293 -0.776
Pt 0.000 0.000 0.000
Ag 10.012 -1.619 -0.004

---

Run b
12
Lattice="-1.765 -3.832 2.402 5.484 -2.338 2.154 -0.460 2.649 5.740" Properties=species:S:1:pos:R:3 comment="Ag2Pt (PBEsol, relaxed)" density_g_cm3=14.32 magnetic_moment_mub_per_fu=0.00 volume_a3_per_atom=15.9 pbc="T T T"
Pt -1.113 -0.591 4.071
Pt 1.562 -0.376 4.855
Ag 0.763 0.466 2.286
Pt 1.697 -3.145 5.442
Ag 2.405 -1.253 7.398
Ag 0.854 -2.267 2.899
Ag 3.536 -2.032 3.663
Pt 2.742 -1.169 1.077
Ag -0.277 -1.489 6.633
Ag 2.496 -3.986 8.011
Ag -0.388 1.261 6.031
Ag 3.647 -4.781 4.265

---

Name the least stable of them. run b.

---

Run a
4
Lattice="2.385 0.000 0.000 0.000 2.385 0.000 0.000 0.000 7.675" Properties=species:S:1:pos:R:3 comment="LiMnCo2 (PBEsol, relaxed)" density_g_cm3=6.83 magnetic_moment_mub_per_fu=2.76 volume_a3_per_atom=10.9 pbc="T T T"
Li 0.000 0.000 3.791
Co 1.193 1.193 1.753
Mn 1.193 1.193 5.958
Co 0.000 0.000 0.011

---

Run b
4
Lattice="4.037 0.000 0.000 0.000 4.037 0.000 0.000 0.000 2.587" Properties=species:S:1:pos:R:3 comment="LiMnCo2 (PBEsol, relaxed)" density_g_cm3=7.08 magnetic_moment_mub_per_fu=4.37 volume_a3_per_atom=10.5 pbc="T T T"
Li 2.019 2.019 1.293
Co 2.019 0.000 0.000
Mn 0.000 0.000 1.293
Co 0.000 2.019 0.000

---

Name the least stable of them. run a.